No. 1
Entry from the Alexandria database: a relaxed structure of YBe2Al2 (PBE).

* DFT formation energy: 0.064 eV/atom
* total magnetization: 0.225 μB per formula unit
* ΔE to the lowest computed polymorph: 265 meV per atom
* DFT total energy: -4.216 eV/atom

Cell: 7.432 7.432 2.847 Å, 90.00 90.00 90.00°
Atoms (fractional coordinates):
Y 0.000 0.000 0.000
Y 0.500 0.500 0.000
Be 0.119 0.381 0.000
Be 0.381 0.881 0.000
Be 0.619 0.119 0.000
Be 0.881 0.619 0.000
Al 0.167 0.667 0.500
Al 0.333 0.167 0.500
Al 0.667 0.833 0.500
Al 0.833 0.333 0.500


No. 2
Entry from the Alexandria database: a relaxed structure of Cr2ReTc (PBE).

* DFT formation energy: 0.146 eV/atom
* total magnetization: 0.000 μB per formula unit
* DFT total energy: -10.369 eV/atom

Cell: 2.964 4.327 8.373 Å, 90.00 90.00 90.00°
Atoms (fractional coordinates):
Cr 0.000 0.000 0.000
Cr 0.000 0.500 0.225
Cr 0.500 0.000 0.225
Cr 0.500 0.500 0.000
Re 0.000 0.000 0.476
Re 0.500 0.500 0.476
Tc 0.000 0.500 0.752
Tc 0.500 0.000 0.752


No. 3
Entry from the Alexandria database: a relaxed structure of LiSi2Rh (PBE).

* energy relative to the elements, uncorrected: -0.293 eV/atom
* total magnetization: 0.000 μB per formula unit
* ΔE to the lowest computed polymorph: 198 meV per atom
* DFT total energy: -5.321 eV/atom

Cell: 2.838 2.838 24.686 Å, 90.00 90.00 120.00°
Atoms (fractional coordinates):
Li 0.000 0.000 0.000
Li 0.333 0.667 0.667
Li 0.667 0.333 0.333
Si 0.000 0.000 0.244
Si 0.000 0.000 0.756
Si 0.333 0.667 0.422
Si 0.333 0.667 0.911
Si 0.667 0.333 0.089
Si 0.667 0.333 0.578
Rh 0.000 0.000 0.500
Rh 0.333 0.667 0.167
Rh 0.667 0.333 0.833


No. 4
Entry from the Alexandria database: a relaxed structure of NaCa2CuNi (PBE).

* DFT formation energy: 0.099 eV/atom
* total magnetization: 0.000 μB per formula unit
* ΔE to the lowest computed polymorph: 0 meV per atom
* DFT total energy: -2.941 eV/atom

Cell: 5.402 5.402 4.628 Å, 90.00 90.00 90.00°
Atoms (fractional coordinates):
Na 0.000 0.000 0.000
Ca 0.000 0.500 0.500
Ca 0.500 0.000 0.500
Cu 0.500 0.500 0.000
Ni 0.500 0.500 0.500